No. 1
# TaCdCu | the Alexandria database | PBE-GGA | optimized geometry
data_TaCdCu
_cell_length_a 2.879
_cell_length_b 2.879
_cell_length_c 12.437
_cell_angle_alpha 90.00
_cell_angle_beta 90.00
_cell_angle_gamma 90.00
_symmetry_space_group_name_H-M 'P 4/n m m'
_symmetry_Int_Tables_number 129
loop_
_symmetry_equiv_pos_as_xyz
'x,y,z'
'-x,-y,-z'
'-y+1/2,x,z'
'y+1/2,-x,-z'
'-x+1/2,-y+1/2,z'
'x+1/2,y+1/2,-z'
'y,-x+1/2,z'
'-y,x+1/2,-z'
'x+1/2,-y,-z'
'-x+1/2,y,z'
'-y,-x,-z'
'y,x,z'
'-x,y+1/2,-z'
'x,-y+1/2,z'
'y+1/2,x+1/2,-z'
'-y+1/2,-x+1/2,z'
loop_
_atom_site_label
_atom_site_type_symbol
_atom_site_fract_x
_atom_site_fract_y
_atom_site_fract_z
_atom_site_occupancy
Ta1 Ta 0.250 0.250 0.092 1
Cd1 Cd 0.250 0.250 0.398 1
Cu1 Cu 0.250 0.250 0.758 1
# Density of states at the Fermi level ... 4.2 states/eV/cell
# Energy of formation ... 0.0754 eV per atom
# Energy above the most stable polymorph in this dataset ... 0.00 kJ per mole of atoms

=====

No. 2
# Ta2CdCu | the Alexandria database | PBE-GGA | optimized geometry
data_Ta2CdCu
_cell_length_a 4.030
_cell_length_b 4.030
_cell_length_c 4.226
_cell_angle_alpha 90.00
_cell_angle_beta 90.00
_cell_angle_gamma 90.00
_symmetry_space_group_name_H-M 'P 4/m m m'
_symmetry_Int_Tables_number 123
_symmetry_space_group_name_Hall '-P 4 2'
loop_
_atom_site_label
_atom_site_type_symbol
_atom_site_fract_x
_atom_site_fract_y
_atom_site_fract_z
_atom_site_occupancy
Ta1 Ta 0.000 0.500 0.000 1
Cd1 Cd 0.000 0.000 0.500 1
Cu1 Cu 0.500 0.500 0.500 1
# Density of states at the Fermi level ... 4.5 states/eV/cell
# Energy of formation ... 0.2985 eV per atom

=====

No. 3
# Ta2CdCu | the Alexandria database | PBE-GGA | optimized geometry
data_Ta2CdCu
_cell_length_a 2.8695
_cell_length_b 2.8695
_cell_length_c 29.6133
_cell_angle_alpha 90.00
_cell_angle_beta 90.00
_cell_angle_gamma 120.00
_symmetry_space_group_name_H-M 'R 3 m'
_symmetry_Int_Tables_number 160
_symmetry_space_group_name_Hall 'R 3 -2"'
loop_
_atom_site_label
_atom_site_type_symbol
_atom_site_fract_x
_atom_site_fract_y
_atom_site_fract_z
_atom_site_occupancy
Ta1 Ta 0.0000 0.0000 0.0000 1
Ta2 Ta 0.0000 0.0000 0.2452 1
Cd1 Cd 0.0000 0.0000 0.7580 1
Cu1 Cu 0.0000 0.0000 0.5031 1
# Density of states at the Fermi level ... 7.7 states/eV/cell
# Energy of formation ... 0.2462 eV per atom

=====

No. 4
# Ta2CdCu | the Alexandria database | PBE-GGA | optimized geometry
data_Ta2CdCu
_cell_length_a 6.582
_cell_length_b 6.582
_cell_length_c 6.582
_cell_angle_alpha 90.00
_cell_angle_beta 90.00
_cell_angle_gamma 90.00
_symmetry_space_group_name_H-M 'F -4 3 m'
_symmetry_Int_Tables_number 216
_symmetry_space_group_name_Hall 'F -4 2 3'
loop_
_atom_site_label
_atom_site_type_symbol
_atom_site_fract_x
_atom_site_fract_y
_atom_site_fract_z
_atom_site_occupancy
Ta1 Ta 0.000 0.000 0.000 1
Ta2 Ta 0.250 0.250 0.250 1
Cd1 Cd 0.000 0.000 0.500 1
Cu1 Cu 0.250 0.250 0.750 1
# Density of states at the Fermi level ... 21.0 states/eV/cell
# Energy of formation ... 0.5849 eV per atom

=====

No. 5
# TaCd2Cu | the Alexandria database | PBE-GGA | optimized geometry
data_TaCd2Cu
_cell_length_a 4.201
_cell_length_b 4.201
_cell_length_c 8.225
_cell_angle_alpha 90.00
_cell_angle_beta 90.00
_cell_angle_gamma 90.00
_symmetry_space_group_name_H-M 'I 4/m m m'
_symmetry_Int_Tables_number 139
_symmetry_space_group_name_Hall '-I 4 2'
loop_
_atom_site_label
_atom_site_type_symbol
_atom_site_fract_x
_atom_site_fract_y
_atom_site_fract_z
_atom_site_occupancy
Ta1 Ta 0.000 0.000 0.000 1
Cd1 Cd 0.000 0.500 0.250 1
Cu1 Cu 0.000 0.000 0.500 1
# Density of states at the Fermi level ... 6.7 states/eV/cell
# Energy of formation ... 0.5408 eV per atom
# Energy above the most stable polymorph in this dataset ... 39.71 kJ per mole of atoms

=====

No. 6
# TaCdCu | the Alexandria database | PBE-GGA | optimized geometry
data_TaCdCu
_cell_length_a 6.038
_cell_length_b 6.038
_cell_length_c 6.038
_cell_angle_alpha 90.00
_cell_angle_beta 90.00
_cell_angle_gamma 90.00
_symmetry_space_group_name_H-M 'F -4 3 m'
_symmetry_Int_Tables_number 216
_symmetry_space_group_name_Hall 'F -4 2 3'
loop_
_atom_site_label
_atom_site_type_symbol
_atom_site_fract_x
_atom_site_fract_y
_atom_site_fract_z
_atom_site_occupancy
Ta1 Ta 0.000 0.000 0.000 1
Cd1 Cd 0.000 0.000 0.500 1
Cu1 Cu 0.250 0.250 0.750 1
# Density of states at the Fermi level ... 1.4 states/eV/cell
# Energy of formation ... 0.5183 eV per atom
# Energy above the most stable polymorph in this dataset ... 42.74 kJ per mole of atoms

=====

No. 7
# Ta3CdCu | the Alexandria database | PBE-GGA | optimized geometry
data_Ta3CdCu
_cell_length_a 4.674
_cell_length_b 4.674
_cell_length_c 4.674
_cell_angle_alpha 90.00
_cell_angle_beta 90.00
_cell_angle_gamma 90.00
_symmetry_space_group_name_H-M 'P m -3 m'
_symmetry_Int_Tables_number 221
_symmetry_space_group_name_Hall '-P 4 2 3'
loop_
_atom_site_label
_atom_site_type_symbol
_atom_site_fract_x
_atom_site_fract_y
_atom_site_fract_z
_atom_site_occupancy
Ta1 Ta 0.000 0.000 0.500 1
Cd1 Cd 0.500 0.500 0.500 1
Cu1 Cu 0.000 0.000 0.000 1
# Density of states at the Fermi level ... 11.3 states/eV/cell
# Energy of formation ... 1.1324 eV per atom
# Energy above the most stable polymorph in this dataset ... 0.00 kJ per mole of atoms

=====

No. 8
# TaCd2Cu | the Alexandria database | PBE-GGA | optimized geometry
data_TaCd2Cu
_cell_length_a 2.872
_cell_length_b 4.946
_cell_length_c 10.053
_cell_angle_alpha 90.00
_cell_angle_beta 90.00
_cell_angle_gamma 90.00
_symmetry_space_group_name_H-M 'I m m m'
_symmetry_Int_Tables_number 71
_symmetry_space_group_name_Hall '-I 2 2'
loop_
_atom_site_label
_atom_site_type_symbol
_atom_site_fract_x
_atom_site_fract_y
_atom_site_fract_z
_atom_site_occupancy
Ta1 Ta 0.000 0.000 0.000 1
Cd1 Cd 0.000 0.500 0.228 1
Cu1 Cu 0.000 0.000 0.500 1
# Density of states at the Fermi level ... 4.3 states/eV/cell
# Energy of formation ... 0.3387 eV per atom
# Energy above the most stable polymorph in this dataset ... 20.22 kJ per mole of atoms

=====

No. 9
# TaCd2Cu | the Alexandria database | PBE-GGA | optimized geometry
data_TaCd2Cu
_cell_length_a 5.927
_cell_length_b 8.983
_cell_length_c 2.757
_cell_angle_alpha 90.00
_cell_angle_beta 90.00
_cell_angle_gamma 90.00
_symmetry_space_group_name_H-M 'C m m m'
_symmetry_Int_Tables_number 65
_symmetry_space_group_name_Hall '-C 2 2'
loop_
_atom_site_label
_atom_site_type_symbol
_atom_site_fract_x
_atom_site_fract_y
_atom_site_fract_z
_atom_site_occupancy
Ta1 Ta 0.000 0.000 0.000 1
Cd1 Cd 0.250 0.250 0.500 1
Cu1 Cu 0.000 0.500 0.000 1
# Density of states at the Fermi level ... 4.1 states/eV/cell
# Energy of formation ... 0.3484 eV per atom
# Energy above the most stable polymorph in this dataset ... 21.15 kJ per mole of atoms

=====

No. 10
# TbCd8Cu4 | the Alexandria database | PBE-GGA | optimized geometry
data_TbCd8Cu4
_cell_length_a 9.609
_cell_length_b 9.609
_cell_length_c 5.365
_cell_angle_alpha 90.00
_cell_angle_beta 90.00
_cell_angle_gamma 90.00
_symmetry_space_group_name_H-M 'I 4/m m m'
_symmetry_Int_Tables_number 139
_symmetry_space_group_name_Hall '-I 4 2'
loop_
_atom_site_label
_atom_site_type_symbol
_atom_site_fract_x
_atom_site_fract_y
_atom_site_fract_z
_atom_site_occupancy
Tb1 Tb 0.000 0.000 0.000 1
Cd1 Cd 0.000 0.215 0.500 1
Cd2 Cd 0.000 0.340 0.000 1
Cu1 Cu 0.250 0.250 0.250 1
# Density of states at the Fermi level ... 14.6 states/eV/cell
# Energy of formation ... -0.0856 eV per atom

=====

No. 11
# Tb3CdCu8 | the Alexandria database | PBE-GGA | optimized geometry
data_Tb3CdCu8
_cell_length_a 5.1946
_cell_length_b 5.1946
_cell_length_c 25.5376
_cell_angle_alpha 90.00
_cell_angle_beta 90.00
_cell_angle_gamma 120.00
_symmetry_space_group_name_H-M 'R 3 m'
_symmetry_Int_Tables_number 160
_symmetry_space_group_name_Hall 'R 3 -2"'
loop_
_atom_site_label
_atom_site_type_symbol
_atom_site_fract_x
_atom_site_fract_y
_atom_site_fract_z
_atom_site_occupancy
Tb1 Tb 0.0000 0.0000 0.0000 1
Tb2 Tb 0.0000 0.0000 0.1263 1
Tb3 Tb 0.0000 0.0000 0.6153 1
Cd1 Cd 0.0000 0.0000 0.4930 1
Cu1 Cu 0.0000 0.0000 0.3079 1
Cu2 Cu 0.0000 0.0000 0.8096 1
Cu3 Cu 0.9997 0.4999 0.0589 1
Cu4 Cu 0.0065 0.5033 0.5586 1
# Density of states at the Fermi level ... 24.7 states/eV/cell
# Energy of formation ... -0.1965 eV per atom

=====

No. 12
# TbCdCu2 | the Alexandria database | PBE-GGA | optimized geometry
data_TbCdCu2
_cell_length_a 6.240
_cell_length_b 4.385
_cell_length_c 10.992
_cell_angle_alpha 90.00
_cell_angle_beta 90.00
_cell_angle_gamma 90.00
_symmetry_space_group_name_H-M 'P n m a'
_symmetry_Int_Tables_number 62
loop_
_symmetry_equiv_pos_as_xyz
'x,y,z'
'-x,-y,-z'
'-x+1/2,-y,z+1/2'
'x+1/2,y,-z+1/2'
'x+1/2,-y+1/2,-z+1/2'
'-x+1/2,y+1/2,z+1/2'
'-x,y+1/2,-z'
'x,-y+1/2,z'
loop_
_atom_site_label
_atom_site_type_symbol
_atom_site_fract_x
_atom_site_fract_y
_atom_site_fract_z
_atom_site_occupancy
Tb1 Tb 0.222 0.250 0.168 1
Cd1 Cd 0.188 0.250 0.460 1
Cu1 Cu 0.054 0.750 0.324 1
Cu2 Cu 0.063 0.250 0.896 1
# Density of states at the Fermi level ... 6.9 states/eV/cell
# Energy of formation ... -0.1879 eV per atom